[1]
BaIrPb4: optimized geometry, PBE.

Calculated values
Calculated volume = 747 Å³/cell
VASP energy = -3.8486 eV/atom

abc: 9.072 9.072 9.072
angles: 90.00 90.00 90.00
Space group F-43m (No. 216)
Symmetry-distinct sites (fractional):
Ba (0.000, 0.000, 0.000) x4
Ir (0.250, 0.250, 0.750) x4
Pb (0.124, 0.124, 0.376) x16



[2]
BaIrPb2: optimized geometry, PBE.

Calculated values
Calculated volume = 447 Å³/cell
VASP energy = -4.3170 eV/atom

abc: 7.643 7.643 7.643
angles: 90.00 90.00 90.00
Space group F-43m (No. 216)
Symmetry-distinct sites (fractional):
Ba (0.000, 0.000, 0.000) x4
Ir (0.250, 0.250, 0.250) x4
Pb (0.000, 0.000, 0.500) x4
Pb (0.250, 0.250, 0.750) x4



[3]
BaIrPb2: optimized geometry, PBE.

Calculated values
Calculated volume = 108 Å³/cell
VASP energy = -4.4997 eV/atom

abc: 3.637 3.637 8.182
angles: 90.00 90.00 90.00
Space group P4/mmm (No. 123)
Symmetry-distinct sites (fractional):
Ba (0.000, 0.000, 0.000) x1
Ir (0.000, 0.000, 0.500) x1
Pb (0.500, 0.500, 0.313) x2



[4]
BaIrPb2: optimized geometry, PBE.

Calculated values
Calculated volume = 115 Å³/cell
VASP energy = -4.4629 eV/atom

abc: 3.757 3.757 8.164
angles: 90.00 90.00 90.00
Space group P4mm (No. 99)
Symmetry-distinct sites (fractional):
Ba (0.000, 0.000, 0.000) x1
Ir (0.500, 0.500, 0.281) x1
Pb (0.000, 0.000, 0.412) x1
Pb (0.500, 0.500, 0.665) x1



[5]
BaIrPb2: optimized geometry, PBE.

Calculated values
Calculated volume = 422 Å³/cell
VASP energy = -4.3906 eV/atom

abc: 7.503 7.503 7.503
angles: 90.00 90.00 90.00
Space group Fm-3m (No. 225)
Symmetry-distinct sites (fractional):
Ba (0.000, 0.000, 0.000) x4
Ir (0.000, 0.000, 0.500) x4
Pb (0.250, 0.250, 0.250) x8



[6]
BaIrPb2: optimized geometry, PBE.

Calculated values
Calculated volume = 577 Å³/cell
VASP energy = -4.4064 eV/atom

abc: 5.661 5.661 17.994
angles: 90.00 90.00 90.00
Space group I-42d (No. 122)
Symmetry-distinct sites (fractional):
Ba (0.000, 0.000, 0.000) x4
Ir (0.000, 0.000, 0.500) x4
Pb (0.095, 0.250, 0.625) x8